No. 1
# LiRu2Br

An optimized crystal structure of LiRu2Br (PBE, Alexandria via LeMat-Bulk).

The structure in CIF format:
```
data_LiRu2Br
_cell_length_a 7.437
_cell_length_b 3.452
_cell_length_c 3.452
_cell_angle_alpha 90.00
_cell_angle_beta 90.00
_cell_angle_gamma 90.00
_symmetry_space_group_name_H-M 'P 1'
_symmetry_Int_Tables_number 1
loop_
_symmetry_equiv_pos_as_xyz
'x,y,z'
loop_
_atom_site_label
_atom_site_fract_x
_atom_site_fract_y
_atom_site_fract_z
_atom_site_occupancy
Li1 0.500 0.000 0.500 1
Ru1 0.000 0.000 0.000 1
Ru2 0.000 0.500 0.500 1
Br1 0.500 0.500 0.000 1
```

Summary:
SG: P4/mmm
Excess energy over the best structure of this formula in the dataset in meV per atom: 291.9

---

No. 2
# Ac2Zn9Cu3

An optimized crystal structure of Ac2Zn9Cu3 (PBE, Alexandria via LeMat-Bulk).

The structure in CIF format:
```
data_Ac2Zn9Cu3
_cell_length_a 7.906
_cell_length_b 7.906
_cell_length_c 10.622
_cell_angle_alpha 90.34
_cell_angle_beta 109.91
_cell_angle_gamma 122.31
_symmetry_space_group_name_H-M 'P 1'
_symmetry_Int_Tables_number 1
loop_
_symmetry_equiv_pos_as_xyz
'x,y,z'
loop_
_atom_site_label
_atom_site_fract_x
_atom_site_fract_y
_atom_site_fract_z
_atom_site_occupancy
Zn1 0.470 0.930 0.736 1
Zn2 0.126 0.876 0.250 1
Ac1 0.339 0.248 0.759 1
Ac2 0.011 0.420 0.259 1
Zn3 0.874 0.124 0.750 1
Cu1 0.500 0.500 0.500 1
Zn4 0.530 0.070 0.264 1
Cu2 0.185 0.363 0.998 1
Zn5 0.137 0.982 0.972 1
Zn6 0.791 0.291 0.931 1
Zn7 0.464 0.670 0.913 1
Zn8 0.491 0.836 0.472 1
Zn9 0.509 0.164 0.528 1
Cu3 0.815 0.637 0.002 1
Zn10 0.743 0.449 0.413 1
Zn11 0.257 0.551 0.587 1
Zn12 0.536 0.330 0.087 1
Cu4 0.134 0.813 0.498 1
Zn13 0.861 0.860 0.569 1
Zn14 0.209 0.709 0.069 1
Cu5 0.500 0.000 0.000 1
Zn15 0.694 0.734 0.764 1
Zn16 0.139 0.140 0.431 1
Ac3 0.661 0.752 0.241 1
Ac4 0.989 0.580 0.741 1
Zn17 0.863 0.018 0.028 1
Cu6 0.866 0.187 0.502 1
Zn18 0.306 0.266 0.236 1
```

Summary:
SG: C2/c
Formation energy in eV/atom: -0.1847

---

What did we get for Fermi-level density of states? Answer: 3.93 6.47 states/eV/f.u., in the order shown.